Density functional theory data (GGA-PBE) for a relaxed Sm6SiP4 crystal. Values from VASP.

```
&SYSTEM
  ibrav = 0, nat = 22, ntyp = 3
/
ATOMIC_SPECIES
Sm 150.36 Sm.upf
Si 28.09 Si.upf
P 30.97 P.upf
CELL_PARAMETERS angstrom
-3.968 -0.014 -1.069
3.132 -5.153 -3.660
-4.043 -13.235 15.174
ATOMIC_POSITIONS crystal
Sm 0.500 0.000 0.000
Sm 0.500 0.000 0.500
Sm 0.045 0.091 0.337
Sm 0.955 0.909 0.663
Sm 0.955 0.909 0.837
Sm 0.045 0.091 0.163
Sm 0.773 0.547 0.417
Sm 0.227 0.453 0.583
Sm 0.227 0.453 0.917
Sm 0.773 0.547 0.083
Sm 0.314 0.628 0.250
Sm 0.686 0.372 0.750
Si 0.660 0.321 0.250
Si 0.340 0.679 0.750
P 0.863 0.725 0.543
P 0.409 0.818 0.128
P 0.137 0.275 0.457
P 0.591 0.182 0.872
P 0.863 0.725 0.957
P 0.137 0.275 0.043
P 0.591 0.182 0.628
P 0.409 0.818 0.372
```

- theoretical density (g/cm3) = 6.15
- calculated volume (Å³/atom) = 25.89
- raw formation energy (eV/atom) = -1.298
- final energy (eV/atom) = -6.332